1.
ScIrO | PBE-GGA | relaxed

Properties
Formation energy from raw total energies in eV per atom: -1.66
DOS(E_F) in states/eV/f.u.: 2.23

Lattice parameters (Å, degrees): 12.644 3.223 4.562 90.00 105.28 90.00
Space group C2/m (No. 12)
Inequivalent atoms, fractional coordinates:
Sc1 0.139 0.000 0.372
Ir1 0.051 0.500 0.807
O1 0.197 0.500 0.654



2.
Ho4S4O | PBE-GGA | relaxed

Properties
Formation energy from raw total energies in eV per atom: -2.11
DOS(E_F) in states/eV/f.u.: 3.28

Lattice parameters (Å, degrees): 6.274 6.274 11.315 90.00 90.00 90.00
Space group I-42m (No. 121)
Inequivalent atoms, fractional coordinates:
Ho1 0.204 0.204 0.124
S1 0.000 0.000 0.295
S2 0.000 0.500 0.000
O1 0.000 0.000 0.000



3.
PmGePt4 | PBE-GGA | relaxed

Properties
ΔE to the lowest computed polymorph in eV per formula unit: 0.61
Energy relative to the elements in eV per atom: -0.64
DOS(E_F) in states/eV/f.u.: 4.56

Lattice parameters (Å, degrees): 7.647 7.647 7.647 90.00 90.00 90.00
Space group F-43m (No. 216)
Inequivalent atoms, fractional coordinates:
Pm1 0.000 0.000 0.000
Ge1 0.250 0.250 0.750
Pt1 0.125 0.125 0.375



4.
Ac4Tl2Hg3 | PBE-GGA | relaxed

Properties
Energy relative to the elements in eV per atom: -0.38
DOS(E_F) in states/eV/f.u.: 6.78

Lattice parameters (Å, degrees): 5.358 6.598 9.489 96.95 90.01 113.87
Space group P-1 (No. 2)
Inequivalent atoms, fractional coordinates:
Ac1 0.099 0.196 0.345
Ac2 0.357 0.714 0.076
Tl1 0.225 0.450 0.716
Hg1 0.000 0.000 0.000
Hg2 0.380 0.761 0.437